The following is a DFT calculation (PBE) of a geometry-optimized Nd2GdSi structure.

abc: 4.722 4.767 4.767
angles: 90.00 90.00 90.00
Last column: magnetic moment on the atom in μB.
Sites, in units of the cell vectors:
Gd 0.500 0.000 0.000  7.22
Si 0.500 0.500 0.500  -0.02
Nd 0.000 0.000 0.500  0.07
Nd 0.000 0.500 0.000  0.07

Properties
The calculation puts the uncorrected formation energy at -25.1 kJ per mole of atoms. The density of states at the Fermi level is 0.976 states/eV per atom. Its symmetry is P4/mmm (123). The offset from the most stable computed form is 0.0 meV per atom.


The following is a DFT calculation (PBE) of a geometry-optimized NdGdZnSi structure.

abc: 5.093 5.093 5.093
angles: 60.00 60.00 60.00
Last column: magnetic moment on the atom in μB.
Sites, in units of the cell vectors:
Nd 0.500 0.500 0.500  0.03
Zn 0.250 0.250 0.250  -0.01
Gd 0.000 0.000 0.000  7.02
Si 0.750 0.750 0.750  -0.04

Properties
The calculation puts the uncorrected formation energy at -42.7 kJ per mole of atoms. The density of states at the Fermi level is 0.693 states/eV per atom. Its symmetry is F-43m (216).